one:
AlTePt2 (GGA-PBEsol, relaxed); magnetic moment = 0.00 μB/atom; D(E_F) = 0.4076 states/eV/atom
1.0
-1.4830 2.5846 0.7426
0.8114 -0.5928 3.6837
5.6928 2.2661 -2.8681
Te Pt Al
1 2 1
Direct
0.5469 0.5469 0.0938
0.9260 0.9260 0.8520
0.2334 0.7334 0.4669
0.7937 0.2937 0.5873

=====

two:
AlTePt2 (GGA-PBEsol, relaxed); magnetic moment = 0.00 μB/atom; D(E_F) = 0.9677 states/eV/atom
1.0
-2.4974 0.9882 -3.7524
1.8527 -0.4854 -4.1983
-1.4347 -3.3950 -2.7766
Pt Te Al
2 1 1
Direct
0.7500 0.7500 0.7500
0.0000 0.0000 0.0000
0.2500 0.2500 0.2500
0.5000 0.5000 0.5000

=====

three:
AlTePt2 (GGA-PBEsol, relaxed); magnetic moment = 0.00 μB/atom; D(E_F) = 0.5646 states/eV/atom
1.0
4.0480 0.0000 0.0000
2.0240 3.5057 0.0000
2.0240 1.1686 5.2704
Pt Al Te
2 1 1
Direct
0.7252 0.7252 0.8244
0.9435 0.9435 0.1696
0.3269 0.3269 0.0194
0.5045 0.5045 0.4866

=====

Most stable one: one, least stable one: two.

=====

one:
AlTePt (GGA-PBEsol, relaxed); magnetic moment = 0.00 μB/atom; D(E_F) = 0.5200 states/eV/atom
1.0
4.4560 0.0000 0.0000
2.2280 3.8590 0.0000
2.2280 1.2863 3.6383
Te Pt Al
1 1 1
Direct
0.0000 0.0000 0.0000
0.2500 0.2500 0.2500
0.5000 0.5000 0.5000

=====

two:
AlTePt (GGA-PBEsol, relaxed); magnetic moment = 0.00 μB/atom; D(E_F) = 0.3342 states/eV/atom
1.0
3.0877 0.0000 0.0000
0.0000 3.0877 0.0000
-1.5438 -1.5438 6.6777
Al Te Pt
1 1 1
Direct
0.1275 0.1275 0.2550
0.3320 0.3320 0.6640
0.5405 0.5405 0.0810

=====

three:
AlTePt (GGA-PBEsol, relaxed); magnetic moment = 0.00 μB/atom; D(E_F) = 0.5343 states/eV/atom
1.0
-3.0728 -1.9909 0.7576
3.2803 -1.7313 -0.4711
0.9422 0.4347 4.9638
Al Te Pt
1 1 1
Direct
0.0000 0.0000 0.9393
0.3333 0.6667 0.3643
0.6667 0.3333 0.6965

=====

Most stable one: two, least stable one: three.

=====

one:
Al2PtW (GGA-PBEsol, relaxed); magnetic moment = 0.00 μB/atom; D(E_F) = 0.5206 states/eV/atom
1.0
2.7595 0.0000 0.0000
0.0000 4.6860 -0.0162
0.0000 -1.0344 4.5704
W Al Pt
1 2 1
Direct
0.5000 0.5000 0.5000
0.0000 0.5000 0.0000
0.0000 0.0000 0.5000
0.5000 0.0000 0.0000

=====

two:
Al2PtW (GGA-PBEsol, relaxed); magnetic moment = 0.00 μB/atom; D(E_F) = 0.3891 states/eV/atom
1.0
-2.7327 -0.7193 0.2248
-0.9321 -1.3159 2.3313
-2.9259 6.9253 4.4624
Al W Pt
2 1 1
Direct
0.2470 0.2470 0.2591
0.7530 0.7530 0.7409
0.0000 0.0000 0.0000
0.5000 0.5000 0.5000

=====

Most stable one: one, least stable one: two.

=====

one:
Al2ZnPt2 (GGA-PBEsol, relaxed); magnetic moment = 0.00 μB/atom; D(E_F) = 0.4265 states/eV/atom
1.0
-0.4182 2.8926 -2.2841
-0.0654 -2.3042 -2.9061
-5.6080 -0.7504 3.0884
Pt Zn Al
2 1 2
Direct
0.3890 0.3890 0.7779
0.6110 0.6110 0.2221
0.0000 0.0000 0.0000
0.2500 0.7500 0.5000
0.7500 0.2500 0.5000

=====

two:
Al2ZnPt2 (GGA-PBEsol, relaxed); magnetic moment = 0.00 μB/atom; D(E_F) = 0.2512 states/eV/atom
1.0
2.9691 0.0000 0.0000
0.0000 7.1411 0.0000
0.0000 0.0000 7.1411
Zn Pt Al
2 4 4
Direct
0.0000 0.0000 0.0000
0.0000 0.5000 0.5000
0.0000 0.6499 0.1499
0.0000 0.8501 0.6499
0.0000 0.3501 0.8501
0.0000 0.1499 0.3501
0.5000 0.3525 0.1475
0.5000 0.6475 0.8525
0.5000 0.8525 0.3525
0.5000 0.1475 0.6475

=====

Most stable one: two, least stable one: one.

=====

one:
RbAl2Si2 (GGA-PBEsol, relaxed); magnetic moment = 0.00 μB/atom; D(E_F) = 0.2701 states/eV/atom
1.0
-2.2494 2.8196 -2.7582
-3.7689 -0.6001 2.4602
4.3114 2.8178 3.1019
Rb Si Al
1 2 2
Direct
0.0000 0.0000 0.0000
0.3764 0.3764 0.7529
0.6236 0.6236 0.2471
0.2500 0.7500 0.5000
0.7500 0.2500 0.5000

=====

two:
RbAl2Si2 (GGA-PBEsol, relaxed); magnetic moment = 0.00 μB/atom; D(E_F) = 0.2107 states/eV/atom
1.0
4.4467 0.0000 0.0000
0.0000 4.4467 0.0000
-2.2234 -2.2234 5.4494
Si Al Rb
2 2 1
Direct
0.2500 0.7500 0.5000
0.7500 0.2500 0.5000
0.3751 0.3751 0.7503
0.6249 0.6249 0.2497
0.0000 0.0000 0.0000

=====

Most stable one: one, least stable one: two.

=====

one:
AlReRh (GGA-PBEsol, relaxed); magnetic moment = 0.00 μB/atom; D(E_F) = 1.0251 states/eV/atom
1.0
-1.1165 0.2609 -2.4826
-2.2401 -1.3048 0.8703
-0.5698 5.3976 2.3296
Re Rh Al
1 1 1
Direct
0.6713 0.6713 0.3426
0.3329 0.3329 0.6659
0.9958 0.9958 0.9915

=====

two:
AlReRh (GGA-PBEsol, relaxed); magnetic moment = 0.31 μB/atom; D(E_F) = 1.5012 states/eV/atom
1.0
4.0658 0.0000 0.0000
2.0329 3.5211 0.0000
2.0329 1.1737 3.3197
Rh Al Re
1 1 1
Direct
0.5000 0.5000 0.5000
0.7500 0.7500 0.7500
0.0000 0.0000 0.0000

=====

Most stable one: one, least stable one: two.

=====

one:
AlRe2Se (GGA-PBEsol, relaxed); magnetic moment = 0.00 μB/atom; D(E_F) = 0.7234 states/eV/atom
1.0
2.9606 0.0000 0.0000
0.0000 4.4269 0.0000
0.0000 0.0000 4.4664
Re Al Se
2 1 1
Direct
0.5000 0.0000 0.9761
0.0000 0.5000 0.7809
0.5000 0.5000 0.2808
0.0000 0.0000 0.4622

=====

two:
AlRe2Se (GGA-PBEsol, relaxed); magnetic moment = 0.00 μB/atom; D(E_F) = 1.0883 states/eV/atom
1.0
4.9999 0.0000 0.0000
2.5000 5.1921 0.0000
2.5000 0.0000 5.1921
Re Se Al
4 2 2
Direct
0.6946 0.4304 0.9304
0.8750 0.0696 0.4304
0.0554 0.5696 0.0696
0.3750 0.9304 0.5696
0.0000 0.0000 0.0000
0.7500 0.5000 0.5000
0.5000 0.0000 0.0000
0.2500 0.5000 0.5000

=====

Most stable one: one, least stable one: two.

=====

one:
SrAl2Re (GGA-PBEsol, relaxed); magnetic moment = 0.00 μB/atom; D(E_F) = 0.7262 states/eV/atom
1.0
-0.5960 -2.2730 -1.4853
4.4545 1.0079 -0.7284
1.1063 -3.8186 5.3997
Al Re Sr
2 1 1
Direct
0.9930 0.9861 0.9235
0.2487 0.4975 0.7242
0.5092 0.0184 0.5890
0.7490 0.4981 0.2634

=====

two:
SrAl2Re (GGA-PBEsol, relaxed); magnetic moment = 0.00 μB/atom; D(E_F) = 0.9844 states/eV/atom
1.0
-1.3659 -1.8248 2.4949
2.6188 0.7658 1.9939
-3.5463 5.9162 2.3856
Al Re Sr
2 1 1
Direct
0.5000 0.5000 0.2919
0.0000 0.0000 0.0711
0.0000 0.0000 0.4140
0.5000 0.5000 0.7231

=====

three:
SrAl2Re (GGA-PBEsol, relaxed); magnetic moment = 0.07 μB/atom; D(E_F) = 1.0433 states/eV/atom
1.0
5.0760 0.0000 0.0000
0.0000 5.0760 0.0000
-2.5380 -2.5380 8.3985
Sr Al Re
2 4 2
Direct
0.5000 0.5000 0.0000
0.7500 0.2500 0.5000
0.1250 0.3750 0.2500
0.6250 0.8750 0.7500
0.1250 0.8750 0.7500
0.1250 0.8750 0.2500
0.0000 0.0000 0.0000
0.2500 0.7500 0.5000

=====

Most stable one: two, least stable one: three.

=====

one:
Al2ReTc (GGA-PBEsol, relaxed); magnetic moment = 0.00 μB/atom; D(E_F) = 0.1531 states/eV/atom
1.0
3.0619 0.0000 0.0000
0.0000 3.0619 0.0000
0.0000 0.0000 5.9531
Al Tc Re
2 1 1
Direct
0.0000 0.0000 0.9923
0.5000 0.5000 0.2543
0.5000 0.5000 0.7596
0.0000 0.0000 0.4938

=====

two:
Al2ReTc (GGA-PBEsol, relaxed); magnetic moment = 0.00 μB/atom; D(E_F) = 0.7230 states/eV/atom
1.0
3.0494 0.0000 0.0000
0.0000 4.1572 0.0000
0.0000 0.0000 4.4812
Re Tc Al
1 1 2
Direct
0.5000 0.5000 0.0000
0.0000 0.5000 0.5000
0.5000 0.0000 0.5000
0.0000 0.0000 0.0000

=====

Most stable one: one, least stable one: two.

=====

one:
AlTl2Re (GGA-PBEsol, relaxed); magnetic moment = 0.00 μB/atom; D(E_F) = 0.3271 states/eV/atom
1.0
-1.3976 2.3979 2.3660
-2.3842 1.1055 -2.5288
-3.7257 -3.9386 1.7909
Re Tl Al
1 2 1
Direct
0.5000 0.5000 0.5000
0.0000 0.0000 0.2525
0.0000 0.0000 0.7475
0.5000 0.5000 0.0000

=====

two:
AlTl2Re (GGA-PBEsol, relaxed); magnetic moment = 0.00 μB/atom; D(E_F) = 0.6250 states/eV/atom
1.0
2.9196 -0.0168 0.0000
-0.8952 2.7790 0.0000
0.0000 0.0000 10.3113
Al Re Tl
1 1 2
Direct
0.0000 0.0000 0.4601
0.5000 0.5000 0.2798
0.5000 0.5000 0.7190
0.0000 0.0000 0.0411

=====

Most stable one: two, least stable one: one.

=====

one:
Al2TlRe (GGA-PBEsol, relaxed); magnetic moment = 0.00 μB/atom; D(E_F) = 0.2791 states/eV/atom
1.0
-3.9560 0.6713 0.5661
0.4875 -0.4952 3.9941
2.4515 3.8056 -1.8849
Al Tl Re
2 1 1
Direct
0.2500 0.2500 0.4999
0.7500 0.7500 0.5001
0.0000 0.5000 0.0000
0.5000 0.0000 0.0000

=====

two:
Al2TlRe (GGA-PBEsol, relaxed); magnetic moment = 0.00 μB/atom; D(E_F) = 0.1391 states/eV/atom
1.0
-1.2319 3.2216 0.0364
-2.1307 -0.8439 2.5779
3.9549 1.4699 3.7502
Re Al Tl
1 2 1
Direct
0.0000 0.0000 0.4561
0.0000 0.0000 0.0139
0.5000 0.5000 0.2727
0.5000 0.5000 0.7572

=====

Most stable one: two, least stable one: one.

=====

one:
AlZnRe2 (GGA-PBEsol, relaxed); magnetic moment = 0.00 μB/atom; D(E_F) = 0.4133 states/eV/atom
1.0
3.0233 0.0000 0.0000
0.0000 3.0233 0.0000
0.0000 0.0000 6.1455
Al Re Zn
1 2 1
Direct
0.5000 0.5000 0.7467
0.5000 0.5000 0.2460
0.0000 0.0000 0.0011
0.0000 0.0000 0.5063

=====

two:
AlZnRe2 (GGA-PBEsol, relaxed); magnetic moment = 0.00 μB/atom; D(E_F) = 0.8988 states/eV/atom
1.0
2.6433 0.0000 0.0000
0.0000 2.6433 0.0000
0.0000 0.0000 8.1596
Re Al Zn
2 1 1
Direct
0.0000 0.0000 0.7480
0.0000 0.0000 0.2520
0.5000 0.5000 0.5000
0.5000 0.5000 0.0000

=====

Most stable one: one, least stable one: two.